(1)
Ce2ThAu6: optimized geometry, GGA-PBE.

Structure (POSCAR):
```
Ce2ThAu6
1.0
-1.5576 -2.6910 1.8555
6.8022 -4.2546 3.0719
3.3551 1.0295 7.8417
Ce Au Th
2 6 1
Direct
0.1432 0.3568 0.3568
0.8568 0.6432 0.6432
0.6753 0.0056 0.6437
0.3247 0.9944 0.3563
0.6753 0.6437 0.0056
0.5000 0.3187 0.6813
0.5000 0.6813 0.3187
0.3247 0.3563 0.9944
0.0000 0.0000 0.0000
```

Calculated values
**Crystal system**: orthorhombic
**Space-group type**: Immm (71)
**DOS(E_F)**: 15.136 states/eV per cell
**Total energy**: -4.94 eV/atom
**Energy relative to the elements**: -5.5 eV/f.u.

***

(2)
HfFe3Ge3: optimized geometry, GGA-PBE.

Structure (POSCAR):
```
HfFe3Ge3
1.0
-2.6156 -2.5240 2.1162
6.1331 -4.3064 2.4440
-2.4603 6.1418 4.2846
Fe Ge Hf
6 6 2
Direct
0.7500 0.8997 0.3612
0.7500 0.6388 0.5384
0.2500 0.3612 0.4616
0.7500 0.4616 0.1003
0.2500 0.1003 0.6388
0.2500 0.5384 0.8997
0.2500 0.0152 0.3011
0.2500 0.2860 0.9848
0.2500 0.6989 0.7140
0.7500 0.3011 0.2860
0.7500 0.9848 0.6989
0.7500 0.7140 0.0152
0.2500 0.6667 0.3333
0.7500 0.3333 0.6667
```

Calculated values
**Crystal system**: hexagonal
**Space-group type**: P6_3/m (176)
**Energy above the lowest structure with this stoichiometry**: 0 kJ/mol of formula units
**DOS(E_F)**: 8.057 states/eV per cell
**Total energy**: -6.99 eV/atom
**Energy relative to the elements**: 0.2 eV/f.u.

***

(3)
Tb2PmMg4: optimized geometry, GGA-PBE.

Structure (POSCAR):
```
Tb2PmMg4
1.0
5.1318 0.0000 -1.6359
-0.5215 5.1053 -1.6359
-0.1904 -0.2108 8.2702
Mg Pm Tb
4 1 2
Direct
0.3811 0.8811 0.7622
0.6189 0.1189 0.2378
0.8811 0.3811 0.7622
0.1189 0.6189 0.2378
0.0000 0.0000 0.0000
0.7488 0.7488 0.4976
0.2512 0.2512 0.5024
```

Calculated values
**Crystal system**: tetragonal
**Space-group type**: I4/mmm (139)
**Energy above the lowest structure with this stoichiometry**: 0 kJ/mol of formula units
**DOS(E_F)**: 6.049 states/eV per cell
**Total energy**: -2.78 eV/atom
**Energy relative to the elements**: 0.9 eV/f.u.

***

(4)
Rb2ZnO2: optimized geometry, GGA-PBE.

Structure (POSCAR):
```
Rb2ZnO2
1.0
5.7813 0.0000 0.0000
-2.8907 6.2687 -0.5725
0.0000 -3.9582 6.9489
Rb Zn O
4 2 4
Direct
0.0399 0.0797 0.7645
0.6734 0.3468 0.5783
0.3266 0.6532 0.4217
0.9601 0.9203 0.2355
0.6321 0.2642 0.1302
0.3679 0.7358 0.8698
0.4791 0.9582 0.1601
0.7982 0.5965 0.3632
0.5209 0.0418 0.8399
0.2018 0.4035 0.6368
```

Calculated values
**Crystal system**: monoclinic
**Space-group type**: C2/m (12)
**Total energy**: -3.89 eV/atom

***

(5)
InCuPdF6: optimized geometry, GGA-PBE.

Structure (POSCAR):
```
InCuPdF6
1.0
-5.0316 2.1690 -0.8731
0.6700 -4.0315 3.7527
1.6660 6.5984 6.7911
F Pd In Cu
12 2 2 2
Direct
0.3465 0.3472 0.8659
0.9993 0.3465 0.1341
0.3472 0.0007 0.1341
0.0007 0.6535 0.8659
0.6528 0.6535 0.6341
0.0007 0.3472 0.6341
0.6528 0.9993 0.8659
0.9993 0.6528 0.3659
0.3465 0.9993 0.6341
0.6535 0.6528 0.1341
0.3472 0.3465 0.3659
0.6535 0.0007 0.3659
0.0000 0.0000 0.5000
0.0000 0.0000 0.0000
0.3333 0.6667 0.7500
0.6667 0.3333 0.2500
0.3333 0.6667 0.2500
0.6667 0.3333 0.7500
```

Calculated values
**Crystal system**: trigonal
**Space-group type**: P-31c (163)
**DOS(E_F)**: 8.509 states/eV per cell
**Total energy**: -4.28 eV/atom

***

(6)
La3YSe: optimized geometry, GGA-PBE.

Structure (POSCAR):
```
La3YSe
1.0
-1.8896 4.1699 -3.4717
-5.2107 -2.4197 -0.0702
-1.5130 3.1254 4.5775
La Y Se
3 1 1
Direct
0.5000 0.0000 0.0000
0.0000 0.5000 0.0000
0.0000 0.0000 0.5000
0.5000 0.5000 0.5000
0.0000 0.0000 0.0000
```

Calculated values
**Crystal system**: cubic
**Space-group type**: Pm-3m (221)
**Energy above the lowest structure with this stoichiometry**: 0 kJ/mol of formula units
**DOS(E_F)**: 8.004 states/eV per cell
**Total energy**: -5.50 eV/atom

***

(7)
Sr5Ga2Hg: optimized geometry, GGA-PBE.

Structure (POSCAR):
```
Sr5Ga2Hg
1.0
7.5577 0.0000 -3.5676
-1.6841 7.3677 -3.5676
0.2132 0.2674 10.2406
Sr Hg Ga
10 2 4
Direct
0.1836 0.0315 0.7151
0.0315 0.5315 0.7151
0.5000 0.5000 0.0000
0.4685 0.3164 0.2849
0.8164 0.9685 0.2849
0.0000 0.0000 0.0000
0.3164 0.8164 0.2849
0.9685 0.4685 0.2849
0.5315 0.6836 0.7151
0.6836 0.1836 0.7151
0.7500 0.7500 0.5000
0.2500 0.2500 0.5000
0.6078 0.1078 0.0000
0.1078 0.3922 0.0000
0.8922 0.6078 0.0000
0.3922 0.8922 0.0000
```

Calculated values
**Crystal system**: tetragonal
**Space-group type**: I4/mcm (140)
**DOS(E_F)**: 16.826 states/eV per cell
**Total energy**: -2.20 eV/atom
**Energy relative to the elements**: -2.9 eV/f.u.

***

(8)
PuZrSb2: optimized geometry, GGA-PBE.

Structure (POSCAR):
```
PuZrSb2
1.0
-3.3592 -2.5991 -0.0132
1.7724 1.2002 -3.6685
5.9805 -4.2654 1.4919
Pu Zr Sb
1 1 2
Direct
0.0000 0.5000 0.5000
0.0000 0.0000 0.0000
0.4889 0.7444 0.2333
0.5111 0.2556 0.7667
```

Calculated values
**Crystal system**: trigonal
**Space-group type**: R-3m (166)
**Energy above the lowest structure with this stoichiometry**: 0 kJ/mol of formula units
**DOS(E_F)**: 14.049 states/eV per cell
**Total energy**: -8.43 eV/atom

***

(9)
Ho4GaRu3: optimized geometry, GGA-PBE.

Structure (POSCAR):
```
Ho4GaRu3
1.0
-0.1841 3.4229 -3.4074
-0.7864 -4.8679 -4.8476
-9.5948 0.5168 1.0375
Ga Ru Ho
2 6 8
Direct
0.0000 0.5000 0.0000
0.0000 0.5000 0.5000
0.0000 0.0000 0.0000
0.0000 0.0000 0.5000
0.5002 0.5000 0.2500
0.4999 0.0000 0.7500
0.5001 0.0000 0.2500
0.4998 0.5000 0.7500
0.0000 0.2408 0.2500
0.0000 0.7592 0.2500
0.0000 0.7592 0.7500
0.5000 0.2408 0.0000
0.0000 0.2408 0.7500
0.5000 0.7592 0.5000
0.5000 0.2408 0.5000
0.5000 0.7592 0.0000
```

Calculated values
**Crystal system**: tetragonal
**Space-group type**: P4/mmm (123)
**DOS(E_F)**: 8.773 states/eV per cell
**Total energy**: -6.59 eV/atom
**Energy relative to the elements**: -3.5 eV/f.u.

***

(10)
Ca2Mg3Cu2: optimized geometry, GGA-PBE.

Structure (POSCAR):
```
Ca2Mg3Cu2
1.0
10.5841 0.0414 0.0000
-9.7792 4.0489 0.0000
0.0000 0.0000 3.8569
Mg Ca Cu
3 2 2
Direct
0.4237 0.5763 0.5000
0.0000 0.0000 0.0000
0.5763 0.4237 0.5000
0.8292 0.1708 0.0000
0.1708 0.8292 0.0000
0.7154 0.2846 0.5000
0.2846 0.7154 0.5000
```

Calculated values
**Crystal system**: orthorhombic
**Space-group type**: Cmmm (65)
**Energy above the lowest structure with this stoichiometry**: 38 kJ/mol of formula units
**DOS(E_F)**: 3.791 states/eV per cell
**Total energy**: -2.51 eV/atom
**Energy relative to the elements**: -0.6 eV/f.u.

***

(11)
K2BaCa: optimized geometry, GGA-PBE.

Structure (POSCAR):
```
K2BaCa
1.0
7.0262 0.0000 0.0000
3.5131 6.0849 0.0000
3.5131 2.0283 5.7369
Ca K Ba
1 2 1
Direct
0.7500 0.7500 0.7500
0.2500 0.2500 0.2500
0.0000 0.0000 0.0000
0.5000 0.5000 0.5000
```

Calculated values
**Crystal system**: cubic
**Space-group type**: F-43m (216)
**Energy above the lowest structure with this stoichiometry**: 32 kJ/mol of formula units
**DOS(E_F)**: 5.054 states/eV per cell
**Total energy**: -1.36 eV/atom
**Energy relative to the elements**: 0.7 eV/f.u.

***

(12)
MnCoCu2Os: optimized geometry, GGA-PBE.

Structure (POSCAR):
```
MnCoCu2Os
1.0
-2.0860 -2.2470 3.1248
-1.1713 -2.9782 -2.9234
3.6625 -2.2513 0.8261
Cu Mn Co Os
2 1 1 1
Direct
0.5000 0.0000 0.0000
0.0000 0.0000 0.5000
0.0000 0.0000 0.0000
0.5000 0.5000 0.5000
0.0000 0.5000 0.0000
```

Calculated values
**Crystal system**: tetragonal
**Space-group type**: P4/mmm (123)
**DOS(E_F)**: 5.159 states/eV per cell
**Total energy**: -5.58 eV/atom
**Energy relative to the elements**: 7.8 eV/f.u.